A plane-wave DFT calculation with GGA-PBE was carried out for a relaxed K2ZrSc crystal.

Calculated volume   153.40 Å³ per cell
Uncorrected energy   -13.870 eV for the cell shown
Energy of formation from the pure elements   0.801 eV/atom

a b c (Å): 7.7335 7.7335 7.7335
angles (deg): 155.48 126.48 59.71
Last column: nearest neighbours and their distance in Å.
Atoms (fractional coordinates):
Zr (0.2853, 0.7853, 0.5000)  2 Sc 2.86
K (0.7392, 0.2392, 0.5000)  2 K 3.28
K (0.0155, 0.0155, 0.0000)  2 K 3.28
Sc (0.4600, 0.4600, 0.0000)  2 Zr 2.86



A plane-wave DFT calculation with GGA-PBE was carried out for a relaxed K2ZrSc crystal.

Calculated volume   142.12 Å³ per cell
Uncorrected energy   -15.173 eV for the cell shown
Energy of formation from the pure elements   0.475 eV/atom

a b c (Å): 13.5509 13.5509 13.5509
angles (deg): 14.84 14.84 14.84
Last column: nearest neighbours and their distance in Å.
Atoms (fractional coordinates):
Zr (0.7621, 0.7621, 0.7621)  3 Sc 3.08
Sc (0.4865, 0.4865, 0.4865)  3 Zr 3.08
K (0.0106, 0.0106, 0.0106)  6 K 3.50
K (0.2408, 0.2408, 0.2408)  6 K 3.50



A plane-wave DFT calculation with GGA-PBE was carried out for a relaxed KZrSc crystal.

Calculated volume   236.59 Å³ per cell
Uncorrected energy   -30.145 eV for the cell shown
Energy of formation from the pure elements   0.302 eV/atom

a b c (Å): 4.4320 13.4076 4.2779
angles (deg): 80.74 90.00 109.18
Last column: nearest neighbours and their distance in Å.
Atoms (fractional coordinates):
K (0.6894, 0.9466, 0.9163)  2 Sc 3.94-3.95, 2 Zr 4.02-4.03, 2 K 4.28
K (0.4887, 0.2387, 0.2709)  2 Sc 3.94-3.95, 2 Zr 4.02-4.03, 2 K 4.28
Sc (0.2474, 0.5004, 0.1422)  6 Zr 3.04-3.08, 2 Sc 3.19-3.20
Sc (0.9303, 0.6849, 0.0490)  6 Zr 3.04-3.08, 2 Sc 3.19-3.20
Zr (0.4190, 0.6734, 0.5548)  2 Zr 2.99-3.00, 6 Sc 3.04-3.08
Zr (0.7587, 0.5119, 0.6362)  2 Zr 2.99-3.00, 6 Sc 3.04-3.08



A plane-wave DFT calculation with GGA-PBE was carried out for a relaxed KZrSc crystal.

Calculated volume   213.44 Å³ per cell
Uncorrected energy   -30.156 eV for the cell shown
Energy of formation from the pure elements   0.300 eV/atom

a b c (Å): 3.3330 5.1265 12.5841
angles (deg): 89.98 83.06 90.00
Last column: nearest neighbours and their distance in Å.
Atoms (fractional coordinates):
Sc (0.0144, 0.3479, 0.1269)  6 Zr 3.07-3.29, 2 Sc 3.33
Sc (0.8760, 0.8478, 0.4316)  6 Zr 3.07-3.29, 2 Sc 3.33
Zr (0.4204, 0.3479, 0.3334)  2 Zr 2.90, 2 Sc 3.07
Zr (0.4700, 0.8479, 0.2251)  2 Zr 2.90, 2 Sc 3.07
K (0.2785, 0.3477, 0.6428)  2 K 3.33
K (0.6084, 0.8478, 0.9158)  2 K 3.33



A plane-wave DFT calculation with GGA-PBE was carried out for a relaxed KZrSc crystal.

Calculated volume   94.60 Å³ per cell
Uncorrected energy   -14.709 eV for the cell shown
Energy of formation from the pure elements   0.423 eV/atom

a b c (Å): 9.0315 9.0314 3.2925
angles (deg): 79.50 79.50 21.00
Last column: nearest neighbours and their distance in Å.
Atoms (fractional coordinates):
Sc (0.3062, 0.3063, 0.6938)  4 Zr 3.08, 4 Sc 3.29
Zr (0.6909, 0.6908, 0.3091)  4 Sc 3.08, 4 Zr 3.29
K (0.0029, 0.0030, 0.9971)  4 K 3.29



A plane-wave DFT calculation with GGA-PBE was carried out for a relaxed KZrSc crystal.

Calculated volume   96.43 Å³ per cell
Uncorrected energy   -10.617 eV for the cell shown
Energy of formation from the pure elements   1.787 eV/atom

a b c (Å): 5.1473 5.1473 5.1473
angles (deg): 60.00 60.00 60.00
Last column: nearest neighbours and their distance in Å.
Atoms (fractional coordinates):
Sc (0.0000, 0.0000, 0.0000)  4 K 3.15
K (0.7500, 0.7500, 0.7500)  4 Zr 3.15, 4 Sc 3.15
Zr (0.5000, 0.5000, 0.5000)  4 K 3.15



A plane-wave DFT calculation with GGA-PBE was carried out for a relaxed KZrSc3 crystal.

Calculated volume   122.23 Å³ per cell
Uncorrected energy   -22.181 eV for the cell shown
Energy of formation from the pure elements   1.292 eV/atom

a b c (Å): 4.9628 4.9628 4.9628
angles (deg): 90.00 90.00 90.00
Last column: nearest neighbours and their distance in Å.
Atoms (fractional coordinates):
K (0.0000, 0.0000, 0.0000)  6 Sc 2.48
Sc (0.0000, 0.5000, 0.0000)  2 K 2.48
Sc (0.0000, 0.0000, 0.5000)  2 K 2.48
Sc (0.5000, 0.0000, 0.0000)  2 K 2.48
Zr (0.5000, 0.5000, 0.5000)  12 Sc 3.51



A plane-wave DFT calculation with GGA-PBE was carried out for a relaxed KZrSc crystal.

Calculated volume   89.69 Å³ per cell
Uncorrected energy   -13.235 eV for the cell shown
Energy of formation from the pure elements   0.914 eV/atom

a b c (Å): 5.8982 5.8982 2.9769
angles (deg): 90.00 90.00 120.00
Last column: nearest neighbours and their distance in Å.
Atoms (fractional coordinates):
Zr (0.3333, 0.6667, 0.0000)  2 Zr 2.98
Sc (0.0000, 0.0000, 0.0000)  2 Sc 2.98
K (0.6667, 0.3333, 0.5000)  2 K 2.98



A plane-wave DFT calculation with GGA-PBE was carried out for a relaxed KZrSc crystal.

Calculated volume   90.87 Å³ per cell
Uncorrected energy   -14.678 eV for the cell shown
Energy of formation from the pure elements   0.433 eV/atom

a b c (Å): 3.3350 3.3350 9.4342
angles (deg): 90.00 90.00 120.00
Last column: nearest neighbours and their distance in Å.
Atoms (fractional coordinates):
Zr (0.3333, 0.6667, 0.6291)  3 Sc 3.08, 6 Zr 3.33
Sc (0.6667, 0.3333, 0.3748)  3 Zr 3.08, 6 Sc 3.33
K (0.0000, 0.0000, 0.9961)  6 K 3.33



A plane-wave DFT calculation with GGA-PBE was carried out for a relaxed K2ZrSc crystal.

Calculated volume   148.45 Å³ per cell
Uncorrected energy   -15.430 eV for the cell shown
Energy of formation from the pure elements   0.411 eV/atom

a b c (Å): 3.4568 3.4568 12.4226
angles (deg): 90.00 90.00 90.00
Last column: nearest neighbours and their distance in Å.
Atoms (fractional coordinates):
Zr (0.5000, 0.5000, 0.7044)  4 Sc 3.11, 4 Zr 3.46
K (0.5000, 0.5000, 0.2894)  4 K 3.46
K (0.0000, 0.0000, 0.9561)  4 K 3.46
Sc (0.0000, 0.0000, 0.5501)  4 Zr 3.11, 4 Sc 3.46



A plane-wave DFT calculation with GGA-PBE was carried out for a relaxed KZrSc crystal.

Calculated volume   374.88 Å³ per cell
Uncorrected energy   -54.485 eV for the cell shown
Energy of formation from the pure elements   0.785 eV/atom

a b c (Å): 5.1384 6.4176 11.3682
angles (deg): 90.00 90.00 90.00
Last column: nearest neighbours and their distance in Å.
Atoms (fractional coordinates):
Zr (0.7466, 0.2500, 0.1979)  2 Zr 2.83, 3 Sc 3.00-3.14
Zr (0.2466, 0.2500, 0.3021)  2 Zr 2.83, 3 Sc 3.00-3.14
Zr (0.7534, 0.7500, 0.6979)  2 Zr 2.83, 3 Sc 3.00-3.14
Zr (0.2534, 0.7500, 0.8021)  2 Zr 2.83, 3 Sc 3.00-3.14
Sc (0.7535, 0.7500, 0.9615)  3 Zr 3.00-3.14
Sc (0.2535, 0.7500, 0.5385)  3 Zr 3.00-3.14
Sc (0.2465, 0.2500, 0.0385)  3 Zr 3.00-3.14
Sc (0.7465, 0.2500, 0.4615)  3 Zr 3.00-3.14
K (0.2535, 0.7500, 0.1612)  2 K 3.27, 4 Sc 3.43-3.50, 2 Zr 3.59
K (0.7535, 0.7500, 0.3388)  2 K 3.27, 4 Sc 3.43-3.50, 2 Zr 3.59
K (0.2465, 0.2500, 0.6612)  2 K 3.27, 4 Sc 3.43-3.50, 2 Zr 3.59
K (0.7465, 0.2500, 0.8388)  2 K 3.27, 4 Sc 3.43-3.50, 2 Zr 3.59



A plane-wave DFT calculation with GGA-PBE was carried out for a relaxed KZrSc crystal.

Calculated volume   433.91 Å³ per cell
Uncorrected energy   -55.746 eV for the cell shown
Energy of formation from the pure elements   0.680 eV/atom

a b c (Å): 13.9529 5.9292 5.2450
angles (deg): 90.00 90.00 90.00
Last column: nearest neighbours and their distance in Å.
Atoms (fractional coordinates):
Sc (0.5000, 0.0000, 0.5000)  2 Sc 2.96, 4 Zr 3.03
Sc (0.0000, 0.5000, 0.0000)  2 Sc 2.96, 4 Zr 3.03
Sc (0.5000, 0.5000, 0.5000)  2 Sc 2.96, 4 Zr 3.03
Sc (0.0000, 0.0000, 0.0000)  2 Sc 2.96, 4 Zr 3.03
K (0.2653, 0.7500, 0.9984)  1 Zr 3.63, 4 K 3.98, 2 Sc 3.99
K (0.7347, 0.2500, 0.0016)  1 Zr 3.63, 4 K 3.98, 2 Sc 3.99
K (0.7653, 0.7500, 0.5016)  1 Zr 3.63, 4 K 3.98, 2 Sc 3.99
K (0.2347, 0.2500, 0.4984)  1 Zr 3.63, 4 K 3.98, 2 Sc 3.99
Zr (0.4747, 0.2500, 0.0000)  4 Sc 3.03, 2 Zr 3.05
Zr (0.5253, 0.7500, 0.0000)  4 Sc 3.03, 2 Zr 3.05
Zr (0.0253, 0.7500, 0.5000)  4 Sc 3.03, 2 Zr 3.05
Zr (0.9747, 0.2500, 0.5000)  4 Sc 3.03, 2 Zr 3.05



A plane-wave DFT calculation with GGA-PBE was carried out for a relaxed K2ZrSc crystal.

Calculated volume   140.07 Å³ per cell
Uncorrected energy   -13.401 eV for the cell shown
Energy of formation from the pure elements   0.918 eV/atom

a b c (Å): 7.4687 7.4687 7.4687
angles (deg): 144.45 144.45 51.15
Last column: nearest neighbours and their distance in Å.
Atoms (fractional coordinates):
K (0.0000, 0.0000, 0.0000)  4 K 3.22
K (0.5000, 0.5000, 0.0000)  4 K 3.22
Sc (0.2500, 0.7500, 0.5000)  4 Zr 3.22
Zr (0.7500, 0.2500, 0.5000)  4 Sc 3.22



A plane-wave DFT calculation with GGA-PBE was carried out for a relaxed KZrSc crystal.

Calculated volume   232.36 Å³ per cell
Uncorrected energy   -29.823 eV for the cell shown
Energy of formation from the pure elements   0.355 eV/atom

a b c (Å): 3.4402 13.2657 5.2465
angles (deg): 103.93 89.98 90.81
Last column: nearest neighbours and their distance in Å.
Atoms (fractional coordinates):
Zr (0.4389, 0.6822, 0.9917)  2 Zr 2.96, 5 Sc 3.09-3.14
Zr (0.9287, 0.5031, 0.0135)  2 Zr 2.96, 5 Sc 3.09-3.14
Sc (0.9398, 0.6897, 0.4961)  5 Zr 3.09-3.14, 4 Sc 3.11-3.44
Sc (0.4287, 0.4956, 0.5091)  5 Zr 3.09-3.14, 4 Sc 3.11-3.44
K (0.4066, 0.2359, 0.8371)  2 K 3.44, 1 Zr 3.83
K (0.9467, 0.9493, 0.1661)  2 K 3.44, 1 Zr 3.84